Record 1
A plane-wave DFT calculation with PBE was carried out for an optimized crystal structure of PmSc5In4.

Output
Density of states at the Fermi level: 0.58 states/eV/atom
Raw total energy: -5.08 eV/atom

extended XYZ file:
```
10
Lattice="3.355 0.000 0.000 0.000 3.355 0.000 0.000 0.000 21.153" Properties=species:S:1:pos:R:3 pbc="T T T"
Pm 0.000 0.000 0.000
Sc 1.677 1.677 2.496
Sc 1.677 1.677 6.513
Sc 1.677 1.677 10.577
Sc 1.677 1.677 14.640
Sc 1.677 1.677 18.658
In 0.000 0.000 4.482
In 0.000 0.000 8.543
In 0.000 0.000 12.610
In 0.000 0.000 16.672
```

***

Record 2
A plane-wave DFT calculation with PBE was carried out for an optimized crystal structure of CsKIn3.

Output
Density of states at the Fermi level: 1.41 states/eV/atom
ΔE to the lowest computed polymorph: 0.0 meV per atom
Raw total energy: -1.55 eV/atom

extended XYZ file:
```
5
Lattice="-0.360 3.342 5.425 -6.330 0.435 -0.689 -0.731 -5.420 3.290" Properties=species:S:1:pos:R:3 pbc="T T T"
Cs -3.711 -0.821 4.013
K 0.000 0.000 0.000
In -3.165 0.218 -0.344
In -0.365 -2.710 1.645
In -0.180 1.671 2.713
```

***

Record 3
A plane-wave DFT calculation with PBE was carried out for an optimized crystal structure of Ag2CF2.

Output
Density of states at the Fermi level: 0.49 states/eV/atom
Formation energy from raw total energies: 0.557 eV per atom
ΔE to the lowest computed polymorph: 269.6 meV per atom
Raw total energy: -3.18 eV/atom

extended XYZ file:
```
5
Lattice="3.413 0.000 0.000 0.000 3.413 0.000 1.707 1.707 5.744" Properties=species:S:1:pos:R:3 pbc="T T T"
C 0.000 0.000 0.000
Ag 1.707 1.707 1.316
Ag 3.413 3.413 4.427
F 3.413 1.707 2.872
F 1.707 3.413 2.872
```

***

Record 4
A plane-wave DFT calculation with PBE was carried out for an optimized crystal structure of U3Bi.

Output
Density of states at the Fermi level: 2.68 states/eV/atom
Raw total energy: -9.21 eV/atom

extended XYZ file:
```
4
Lattice="-3.865 2.245 -0.604 -2.325 -3.705 1.104 0.053 1.257 4.332" Properties=species:S:1:pos:R:3 pbc="T T T"
U 0.048 1.153 3.971
U -1.910 1.646 1.503
U -3.046 0.423 4.221
Bi -1.140 -1.329 2.357
```

***

- Look up the raw total energy of the fourth one.
  -9.21 eV/atom

***

- The highest density of states at the Fermi level belongs to which entry?
  U3Bi

***

- Which formula does entry 1 have?
  PmSc5In4

***

- Which value of density of states at the Fermi level does entry 2 give?
  1.41 states/eV/atom